(1)
Compound: Na2Cu5TeS3O19
Source: Alexandria via LeMat-Bulk
Functional: GGA-PBEsol
Structure: relaxed

Summary:
The crystal system is monoclinic. As for the total magnetization: 0.751 μB/f.u. The formation energy without anion corrections comes out at -1.031 eV per atom.

POSCAR file:
```
Na2Cu5TeS3O19
1.0
7.354 -0.121 0.000
-3.493 8.355 0.000
0.000 0.000 11.731
O S Te Cu Na
38 6 2 10 4
direct
0.775 0.988 0.627
0.632 0.156 0.976
0.368 0.844 0.476
0.375 0.282 0.513
0.632 0.156 0.524
0.982 0.258 0.576
0.368 0.555 0.626
0.368 0.555 0.874
0.255 0.536 0.355
0.051 0.605 0.750
0.632 0.445 0.374
0.625 0.718 0.487
0.745 0.464 0.855
0.949 0.395 0.250
0.546 0.171 0.250
0.625 0.718 0.013
0.469 0.895 0.250
0.018 0.742 0.424
0.018 0.742 0.076
0.208 0.292 0.250
0.255 0.536 0.145
0.159 0.942 0.925
0.368 0.844 0.024
0.159 0.942 0.575
0.327 0.255 0.750
0.841 0.058 0.425
0.454 0.829 0.750
0.792 0.708 0.750
0.531 0.105 0.750
0.745 0.464 0.645
0.225 0.012 0.373
0.982 0.258 0.924
0.841 0.058 0.075
0.375 0.282 0.987
0.673 0.745 0.250
0.225 0.012 0.127
0.775 0.988 0.873
0.632 0.445 0.126
0.171 0.441 0.250
0.829 0.559 0.750
0.188 0.886 0.464
0.812 0.114 0.964
0.188 0.886 0.036
0.812 0.114 0.536
0.789 0.578 0.250
0.211 0.422 0.750
0.500 0.500 0.000
0.500 0.500 0.500
0.444 0.220 0.374
0.525 0.794 0.368
0.475 0.206 0.868
0.475 0.206 0.632
0.525 0.794 0.132
0.444 0.220 0.126
0.556 0.780 0.626
0.556 0.780 0.874
0.000 0.500 0.000
0.000 0.500 0.500
0.038 0.962 0.750
0.962 0.038 0.250
```

=====

(2)
Compound: BaRh2C
Source: Alexandria via LeMat-Bulk
Functional: GGA-PBEsol
Structure: relaxed

Summary:
The crystal system is tetragonal. The value obtained for the energy of formation from the pure elements is 24 meV/atom. As for the total magnetization: 0.000 μB/f.u.

POSCAR file:
```
BaRh2C
1.0
-0.696 -0.109 -5.786
4.360 -3.569 1.493
-4.928 -1.746 2.576
Ba Rh C
2 4 2
direct
0.500 0.750 0.250
0.000 0.000 0.000
0.677 0.302 0.125
0.177 0.875 0.552
0.823 0.375 0.698
0.323 0.448 0.625
0.500 0.250 0.750
0.000 0.500 0.500
```